This record from Alexandria describes crystalline Y2CdMo at its relaxed geometry. The functional is GGA-PBE.

Computed properties:
total DFT energy (no corrections) = -5.803 eV per atom
symmetry = C2/m (12)

Structure (POSCAR):
```
Y2CdMo
1.0
-1.4990 -4.8229 -1.3328
1.1140 -4.0767 -3.0698
3.4810 -3.2324 3.8480
Cd Y Mo
1 2 1
Direct
0.7500 0.7500 0.7500
0.9938 0.9938 0.0140
0.5062 0.5062 0.4860
0.2500 0.2500 0.2500
```

***

This record from Alexandria describes crystalline Y2CdMo at its relaxed geometry. The functional is GGA-PBE.

Computed properties:
total DFT energy (no corrections) = -5.840 eV per atom
symmetry = Pmm2 (25)

Structure (POSCAR):
```
Y2CdMo
1.0
3.1893 0.0000 0.0000
0.0000 4.6587 0.0000
0.0000 0.0000 6.4426
Y Mo Cd
2 1 1
Direct
0.5000 0.5000 0.2720
0.0000 0.0000 0.9608
0.5000 0.5000 0.7667
0.0000 0.0000 0.5004
```

***

This record from Alexandria describes crystalline YCdMo2 at its relaxed geometry. The functional is GGA-PBE.

Computed properties:
total DFT energy (no corrections) = -6.550 eV per atom
symmetry = R-3m (166)

Structure (POSCAR):
```
YCdMo2
1.0
-6.7457 -2.3776 7.2600
-5.2319 -4.9794 7.1901
-4.2242 -2.6961 8.8743
Y Mo Cd
1 2 1
Direct
0.7500 0.7500 0.7500
0.5030 0.5030 0.5030
0.9970 0.9970 0.9970
0.2500 0.2500 0.2500
```

***

This record from Alexandria describes crystalline YCd2Mo2 at its relaxed geometry. The functional is GGA-PBE.

Computed properties:
E above lowest polymorph = 0.000 eV per atom
total DFT energy (no corrections) = -5.682 eV per atom
symmetry = I4/mmm (139)

Structure (POSCAR):
```
YCd2Mo2
1.0
-2.1691 2.1215 -2.3610
1.6440 -1.6953 -3.0337
-5.2707 -4.8063 -2.6064
Y Cd Mo
1 2 2
Direct
0.0000 0.0000 0.0000
0.6008 0.6008 0.7983
0.3992 0.3992 0.2017
0.7500 0.2500 0.5000
0.2500 0.7500 0.5000
```

***

Number 1: DFT formation energy 0.365 eV/atom. Number 2: DFT formation energy 0.329 eV/atom. Number 3: DFT formation energy 0.710 eV/atom. Number 4: DFT formation energy 0.309 eV/atom.